# 1
Entry from Alexandria via LeMat-Bulk: a geometry-optimized K2SbPt structure (PBE).

## Properties
density	6.35	g/cm³
total moment	0.00	μB per formula unit
energy	-12.7	eV per formula unit

```
K2SbPt
1.0
4.370 0.000 0.000
0.000 4.370 0.000
0.000 0.000 5.411
K Sb Pt
2 1 1
Direct
0.000 0.500 0.000
0.500 0.000 0.000
0.000 0.000 0.500
0.500 0.500 0.500
```



# 2
Entry from Alexandria via LeMat-Bulk: a geometry-optimized Te2S3 structure (PBE).

## Properties
density	4.39	g/cm³
total moment	0.00	μB per formula unit
energy	-17.4	eV per formula unit

```
Te2S3
1.0
3.366 1.943 6.779
-3.366 1.943 6.779
0.000 -3.886 6.779
Te S
4 6
Direct
0.152 0.152 0.152
0.348 0.348 0.348
0.652 0.652 0.652
0.848 0.848 0.848
0.078 0.750 0.422
0.250 0.578 0.922
0.422 0.078 0.750
0.578 0.922 0.250
0.750 0.422 0.078
0.922 0.250 0.578
```



# 3
Entry from Alexandria via LeMat-Bulk: a geometry-optimized LiHo2HfS6 structure (PBE).

## Properties
density	5.09	g/cm³
total moment	0.00	μB per formula unit
energy	-61.7	eV per formula unit

```
LiHo2HfS6
1.0
6.680 0.000 0.000
3.338 5.788 0.000
3.329 1.926 5.969
Li Ho Hf S
1 2 1 6
Direct
0.000 0.000 0.000
0.201 0.200 0.399
0.708 0.706 0.881
0.512 0.511 0.465
0.138 0.400 0.692
0.295 0.895 0.195
0.401 0.771 0.692
0.615 0.294 0.195
0.772 0.137 0.692
0.896 0.615 0.196
```



# 4
Entry from Alexandria via LeMat-Bulk: a geometry-optimized CuMoBr2 structure (PBE).

## Properties
density	5.83	g/cm³
total moment	2.04	μB per formula unit
energy	-16.3	eV per formula unit
relative energy among the computed polymorphs	0.308	eV per atom

```
CuMoBr2
1.0
-1.566 2.351 6.175
1.566 -2.351 6.175
1.566 2.351 -6.175
Cu Mo Br
1 1 2
Direct
0.000 0.000 0.000
0.173 0.673 0.500
0.346 0.346 0.000
0.640 0.140 0.500
```



# 5
Entry from Alexandria via LeMat-Bulk: a geometry-optimized NaAl2PS6 structure (PBE).

## Properties
density	2.06	g/cm³
total moment	0.00	μB per formula unit
energy	-47.0	eV per formula unit

```
NaAl2PS6
1.0
5.972 -6.716 0.000
5.972 6.716 0.000
-2.615 0.000 6.045
Na Al P S
2 4 2 12
Direct
0.169 0.831 0.750
0.831 0.169 0.250
0.164 0.316 0.935
0.316 0.164 0.435
0.684 0.836 0.565
0.836 0.684 0.065
0.285 0.715 0.250
0.715 0.285 0.750
0.072 0.660 0.303
0.136 0.266 0.237
0.266 0.136 0.737
0.304 0.561 0.968
0.340 0.928 0.197
0.439 0.696 0.532
0.561 0.304 0.468
0.660 0.072 0.803
0.696 0.439 0.032
0.734 0.864 0.263
0.864 0.734 0.763
0.928 0.340 0.697
```



# 6
Entry from Alexandria via LeMat-Bulk: a geometry-optimized Ge3SbF structure (PBE).

## Properties
density	5.67	g/cm³
total moment	0.00	μB per formula unit
energy	-19.9	eV per formula unit
relative energy among the computed polymorphs	0.000	eV per atom

```
Ge3SbF
1.0
4.717 0.000 0.000
0.000 4.717 0.000
0.000 0.000 4.717
Ge Sb F
3 1 1
Direct
0.000 0.000 0.500
0.000 0.500 0.000
0.500 0.000 0.000
0.500 0.500 0.500
0.000 0.000 0.000
```